(1)
{
  "formula": "AsPtNO",
  "functional": "GGA-PBE",
  "state": "optimized geometry",
  "total_magnetization_mub_per_fu": 0.0,
  "vol_a3_per_cell": 103.68,
  "cell": [[4.0554, 0.0000, 0.0000], [0.0000, 4.0554, 0.0000], [0.0000, 0.0000, 6.3039]],
  "species": ["As", "As", "Pt", "Pt", "N", "N", "O", "O"],
  "fractional_positions": [[0.2500, 0.2500, 0.1449], [0.7500, 0.7500, 0.8551], [0.2500, 0.7500, 0.5000], [0.7500, 0.2500, 0.5000], [0.2500, 0.2500, 0.5876], [0.7500, 0.7500, 0.4124], [0.2500, 0.7500, 0.0000], [0.7500, 0.2500, 0.0000]]
}


(2)
{
  "formula": "AsPtNO",
  "functional": "GGA-PBE",
  "state": "optimized geometry",
  "total_magnetization_mub_per_fu": 0.0,
  "vol_a3_per_cell": 116.19,
  "cell": [[3.0188, 0.0000, 0.0000], [0.0000, 7.0412, 0.0000], [0.0000, 0.0000, 5.4664]],
  "species": ["As", "As", "Pt", "Pt", "N", "N", "O", "O"],
  "fractional_positions": [[0.0000, 0.1476, 0.0000], [0.0000, 0.8524, 0.5000], [0.5000, 0.4793, 0.6050], [0.5000, 0.5207, 0.1050], [0.5000, 0.2890, 0.8772], [0.5000, 0.7110, 0.3772], [0.0000, 0.0727, 0.3462], [0.0000, 0.9273, 0.8462]]
}


Need the numbers? Relative energies in eV/atom: (1) 0.375; (2) 0.000.


(1)
{
  "formula": "AsPtNO",
  "functional": "GGA-PBE",
  "state": "optimized geometry",
  "total_magnetization_mub_per_fu": 0.0,
  "vol_a3_per_cell": 123.45,
  "cell": [[2.8454, 0.0000, 0.0000], [0.0000, 6.1623, 0.0000], [0.0000, 0.0000, 7.0407]],
  "species": ["As", "As", "Pt", "Pt", "N", "N", "O", "O"],
  "fractional_positions": [[0.0000, 0.2135, 0.0000], [0.0000, 0.7865, 0.5000], [0.5000, 0.1996, 0.2957], [0.5000, 0.8004, 0.7957], [0.0000, 0.0857, 0.4656], [0.0000, 0.9143, 0.9656], [0.5000, 0.3245, 0.8598], [0.5000, 0.6755, 0.3598]]
}


(2)
{
  "formula": "AsPtNO",
  "functional": "GGA-PBE",
  "state": "optimized geometry",
  "total_magnetization_mub_per_fu": 0.0,
  "vol_a3_per_cell": 103.07,
  "cell": [[4.0546, 0.0000, 0.0000], [0.0000, 4.0546, 0.0000], [0.0000, 0.0000, 6.2694]],
  "species": ["As", "As", "Pt", "Pt", "N", "N", "O", "O"],
  "fractional_positions": [[0.2500, 0.2500, 0.1434], [0.7500, 0.7500, 0.8566], [0.2500, 0.7500, 0.5000], [0.7500, 0.2500, 0.5000], [0.2500, 0.2500, 0.5905], [0.7500, 0.7500, 0.4095], [0.2500, 0.7500, 0.0000], [0.7500, 0.2500, 0.0000]]
}


(3)
{
  "formula": "AsPtNO",
  "functional": "GGA-PBE",
  "state": "optimized geometry",
  "total_magnetization_mub_per_fu": 0.0,
  "vol_a3_per_cell": 106.36,
  "cell": [[4.0865, 0.0000, 0.0000], [0.0000, 4.0865, 0.0000], [0.0000, 0.0000, 6.3691]],
  "species": ["As", "As", "Pt", "Pt", "N", "N", "O", "O"],
  "fractional_positions": [[0.2500, 0.7500, 0.0000], [0.7500, 0.2500, 0.0000], [0.2500, 0.2500, 0.4107], [0.7500, 0.7500, 0.5893], [0.2500, 0.2500, 0.9151], [0.7500, 0.7500, 0.0849], [0.2500, 0.7500, 0.5000], [0.7500, 0.2500, 0.5000]]
}


Need the numbers? Relative energies in eV/atom: (1) 0.000; (2) 0.393; (3) 0.629.


(1)
{
  "formula": "TaAsNO",
  "functional": "GGA-PBE",
  "state": "optimized geometry",
  "total_magnetization_mub_per_fu": 0.0,
  "vol_a3_per_cell": 104.85,
  "cell": [[3.1995, 0.0000, 0.0000], [0.0000, 3.1995, 0.0000], [0.0000, 0.0000, 10.2428]],
  "species": ["Ta", "Ta", "As", "As", "N", "N", "O", "O"],
  "fractional_positions": [[0.2500, 0.2500, 0.1360], [0.7500, 0.7500, 0.8640], [0.2500, 0.7500, 0.5000], [0.7500, 0.2500, 0.5000], [0.2500, 0.2500, 0.7972], [0.7500, 0.7500, 0.2028], [0.2500, 0.7500, 0.0000], [0.7500, 0.2500, 0.0000]]
}


(2)
{
  "formula": "TaAsNO",
  "functional": "GGA-PBE",
  "state": "optimized geometry",
  "total_magnetization_mub_per_fu": 0.0,
  "vol_a3_per_cell": 134.39,
  "cell": [[3.6606, 0.0000, 0.0000], [0.0000, 6.7614, 0.0000], [0.0000, 0.0000, 5.4297]],
  "species": ["Ta", "Ta", "As", "As", "N", "N", "O", "O"],
  "fractional_positions": [[0.0000, 0.1771, 0.0000], [0.0000, 0.8229, 0.5000], [0.5000, 0.4845, 0.0003], [0.5000, 0.5155, 0.5003], [0.5000, 0.2125, 0.8603], [0.5000, 0.7875, 0.3603], [0.0000, 0.0840, 0.3221], [0.0000, 0.9160, 0.8221]]
}


Need the numbers? Relative energies in eV/atom: (1) 0.555; (2) 0.000.


(1)
{
  "formula": "TaAsNO",
  "functional": "GGA-PBE",
  "state": "optimized geometry",
  "total_magnetization_mub_per_fu": 0.0,
  "vol_a3_per_cell": 133.72,
  "cell": [[3.1219, 0.0000, 0.0000], [0.0000, 6.4943, 0.0000], [0.0000, 0.0000, 6.5955]],
  "species": ["Ta", "Ta", "As", "As", "N", "N", "O", "O"],
  "fractional_positions": [[0.0000, 0.1103, 0.0000], [0.0000, 0.8897, 0.5000], [0.5000, 0.2446, 0.4923], [0.5000, 0.7554, 0.9923], [0.0000, 0.1362, 0.6958], [0.0000, 0.8638, 0.1958], [0.5000, 0.2709, 0.0639], [0.5000, 0.7291, 0.5639]]
}


(2)
{
  "formula": "TaAsNO",
  "functional": "GGA-PBE",
  "state": "optimized geometry",
  "total_magnetization_mub_per_fu": 0.0,
  "vol_a3_per_cell": 112.54,
  "cell": [[4.0201, 0.0000, 0.0000], [0.0000, 4.0201, 0.0000], [0.0000, 0.0000, 6.9639]],
  "species": ["Ta", "Ta", "As", "As", "N", "N", "O", "O"],
  "fractional_positions": [[0.2500, 0.7500, 0.0000], [0.7500, 0.2500, 0.0000], [0.2500, 0.2500, 0.3856], [0.7500, 0.7500, 0.6144], [0.2500, 0.2500, 0.9139], [0.7500, 0.7500, 0.0861], [0.2500, 0.7500, 0.5000], [0.7500, 0.2500, 0.5000]]
}


(3)
{
  "formula": "TaAsNO",
  "functional": "GGA-PBE",
  "state": "optimized geometry",
  "total_magnetization_mub_per_fu": 0.0,
  "vol_a3_per_cell": 265.99,
  "cell": [[6.1191, 0.0000, 0.0000], [0.0000, 7.9793, 0.0000], [0.0000, 0.0000, 5.4478]],
  "species": ["Ta", "Ta", "Ta", "Ta", "As", "As", "As", "As", "N", "N", "N", "N", "O", "O", "O", "O"],
  "fractional_positions": [[0.0888, 0.1017, 0.0000], [0.4112, 0.1017, 0.5000], [0.5888, 0.8983, 0.0000], [0.9112, 0.8983, 0.5000], [0.2374, 0.6794, 0.5303], [0.2626, 0.6794, 0.0303], [0.7374, 0.3206, 0.5303], [0.7626, 0.3206, 0.0303], [0.1061, 0.0812, 0.6459], [0.3939, 0.0812, 0.1459], [0.6061, 0.9188, 0.6459], [0.8939, 0.9188, 0.1459], [0.0703, 0.3403, 0.0479], [0.4297, 0.3403, 0.5479], [0.5703, 0.6597, 0.0479], [0.9297, 0.6597, 0.5479]]
}


Need the numbers? Relative energies in eV/atom: (1) 0.007; (2) 0.504; (3) 0.000.


(1)
{
  "formula": "TbAsNO",
  "functional": "GGA-PBE",
  "state": "optimized geometry",
  "total_magnetization_mub_per_fu": 0.0,
  "vol_a3_per_cell": 141.89,
  "cell": [[3.9776, 0.0000, 0.0000], [0.0000, 6.0024, 0.0000], [0.0000, 0.0000, 5.9429]],
  "species": ["Tb", "Tb", "As", "As", "N", "N", "O", "O"],
  "fractional_positions": [[0.0000, 0.2052, 0.0000], [0.0000, 0.7948, 0.5000], [0.5000, 0.3337, 0.6092], [0.5000, 0.6663, 0.1092], [0.5000, 0.4117, 0.9290], [0.5000, 0.5883, 0.4290], [0.0000, 0.1008, 0.3314], [0.0000, 0.8992, 0.8314]]
}


(2)
{
  "formula": "TbAsNO",
  "functional": "GGA-PBE",
  "state": "optimized geometry",
  "total_magnetization_mub_per_fu": 0.0,
  "vol_a3_per_cell": 244.83,
  "cell": [[5.4045, 0.0000, 0.0000], [0.0000, 7.6965, 0.0000], [0.0000, 0.0000, 5.8860]],
  "species": ["Tb", "Tb", "Tb", "Tb", "As", "As", "As", "As", "N", "N", "N", "N", "O", "O", "O", "O"],
  "fractional_positions": [[0.0063, 0.1377, 0.0000], [0.4937, 0.1377, 0.5000], [0.5063, 0.8623, 0.0000], [0.9937, 0.8623, 0.5000], [0.0351, 0.3816, 0.4799], [0.4649, 0.3816, 0.9799], [0.5351, 0.6184, 0.4799], [0.9649, 0.6184, 0.9799], [0.1954, 0.5919, 0.4803], [0.3046, 0.5919, 0.9803], [0.6954, 0.4081, 0.4803], [0.8046, 0.4081, 0.9803], [0.2489, 0.9886, 0.7504], [0.2511, 0.9886, 0.2504], [0.7489, 0.0114, 0.7504], [0.7511, 0.0114, 0.2504]]
}


(3)
{
  "formula": "TbAsNO",
  "functional": "GGA-PBE",
  "state": "optimized geometry",
  "total_magnetization_mub_per_fu": 0.0,
  "vol_a3_per_cell": 112.36,
  "cell": [[4.8808, 0.0000, 0.0000], [0.0000, 4.8808, 0.0000], [0.0000, 0.0000, 4.7168]],
  "species": ["Tb", "Tb", "As", "As", "N", "N", "O", "O"],
  "fractional_positions": [[0.2500, 0.7500, 0.0000], [0.7500, 0.2500, 0.0000], [0.2500, 0.2500, 0.4765], [0.7500, 0.7500, 0.5235], [0.2500, 0.2500, 0.0835], [0.7500, 0.7500, 0.9165], [0.2500, 0.7500, 0.5000], [0.7500, 0.2500, 0.5000]]
}


Need the numbers? Relative energies in eV/atom: (1) 0.272; (2) 0.000; (3) 0.398.


(1)
{
  "formula": "ZnSiAsN",
  "functional": "GGA-PBE",
  "state": "optimized geometry",
  "vol_a3_per_cell": 244.75,
  "cell": [[7.1659, 0.0000, 0.0000], [0.0000, 7.2439, 0.0000], [-3.2458, 0.0000, 4.7150]],
  "species": ["Zn", "Zn", "Zn", "Zn", "Si", "Si", "Si", "Si", "As", "As", "As", "As", "N", "N", "N", "N"],
  "fractional_positions": [[0.0000, 0.1616, 0.0000], [0.0000, 0.8384, 0.5000], [0.5000, 0.3384, 0.5000], [0.5000, 0.6616, 0.0000], [0.4268, 0.0909, 0.0040], [0.4268, 0.9091, 0.5040], [0.9268, 0.4091, 0.5040], [0.9268, 0.5909, 0.0040], [0.3210, 0.3675, 0.7527], [0.3210, 0.6325, 0.2527], [0.8210, 0.1325, 0.2527], [0.8210, 0.8675, 0.7527], [0.3520, 0.0922, 0.2535], [0.3520, 0.9078, 0.7535], [0.8520, 0.4078, 0.7535], [0.8520, 0.5922, 0.2535]]
}


(2)
{
  "formula": "ZnSiAsN",
  "functional": "GGA-PBE",
  "state": "optimized geometry",
  "vol_a3_per_cell": 253.57,
  "cell": [[4.9923, 0.0000, 0.0000], [0.0000, 5.3851, 0.0000], [0.0000, 0.0000, 9.4319]],
  "species": ["Zn", "Zn", "Zn", "Zn", "Si", "Si", "Si", "Si", "As", "As", "As", "As", "N", "N", "N", "N"],
  "fractional_positions": [[0.0000, 0.2500, 0.0979], [0.0000, 0.7500, 0.4021], [0.5000, 0.2500, 0.9021], [0.5000, 0.7500, 0.5979], [0.0000, 0.2500, 0.5920], [0.0000, 0.7500, 0.9080], [0.5000, 0.2500, 0.4080], [0.5000, 0.7500, 0.0920], [0.2284, 0.5000, 0.7500], [0.2716, 0.5000, 0.2500], [0.7284, 0.0000, 0.2500], [0.7716, 0.0000, 0.7500], [0.2500, 0.0818, 0.5000], [0.2500, 0.9182, 0.0000], [0.7500, 0.4182, 0.5000], [0.7500, 0.5818, 0.0000]]
}


Need the numbers? Relative energies in eV/atom: (1) 0.000; (2) 0.079.